Material: Hf6RhN2
Method: DFT, PBE
State: optimized geometry

Electronic total energy (eV/atom): -10.091

Lattice parameters (Å, degrees): 5.840 5.840 7.652 115.93 115.93 44.12
Element x y z (fractional)
Hf 0.024 0.024 0.197
Hf 0.307 0.307 0.913
Hf 0.335 0.335 0.436
Hf 0.665 0.665 0.564
Hf 0.693 0.693 0.087
Hf 0.976 0.976 0.803
Rh 0.000 0.000 0.500
N 0.185 0.185 0.086
N 0.815 0.815 0.914

---

Material: Al2CuSi
Method: DFT, PBE
State: optimized geometry

Electronic total energy (eV/atom): -4.013

Lattice parameters (Å, degrees): 6.233 6.233 6.233 90.00 90.00 90.00
Element x y z (fractional)
Al 0.000 0.000 0.000
Al 0.000 0.500 0.500
Al 0.250 0.250 0.250
Al 0.250 0.750 0.750
Al 0.500 0.000 0.500
Al 0.500 0.500 0.000
Al 0.750 0.250 0.750
Al 0.750 0.750 0.250
Cu 0.000 0.000 0.500
Cu 0.000 0.500 0.000
Cu 0.500 0.000 0.000
Cu 0.500 0.500 0.500
Si 0.250 0.250 0.750
Si 0.250 0.750 0.250
Si 0.750 0.250 0.250
Si 0.750 0.750 0.750

---

Material: Sr2ScAs
Method: DFT, PBE
State: optimized geometry

Energy of formation (kJ/mol of atoms): 5.6
Electronic total energy (eV/atom): -3.528

Lattice parameters (Å, degrees): 7.789 7.789 7.789 90.00 90.00 90.00
Element x y z (fractional)
Sr 0.000 0.000 0.000
Sr 0.000 0.500 0.500
Sr 0.250 0.250 0.250
Sr 0.250 0.750 0.750
Sr 0.500 0.000 0.500
Sr 0.500 0.500 0.000
Sr 0.750 0.250 0.750
Sr 0.750 0.750 0.250
Sc 0.000 0.000 0.500
Sc 0.000 0.500 0.000
Sc 0.500 0.000 0.000
Sc 0.500 0.500 0.500
As 0.250 0.250 0.750
As 0.250 0.750 0.250
As 0.750 0.250 0.250
As 0.750 0.750 0.750

---

Material: InSiAs
Method: DFT, PBE
State: optimized geometry

Electronic total energy (eV/atom): -4.274

Lattice parameters (Å, degrees): 12.584 6.366 4.122 90.00 90.02 90.00
Element x y z (fractional)
In 0.185 0.000 0.252
In 0.315 0.500 0.748
In 0.685 0.500 0.252
In 0.815 0.000 0.748
Si 0.050 0.685 0.250
Si 0.450 0.185 0.750
Si 0.550 0.185 0.250
Si 0.950 0.685 0.750
As 0.184 0.421 0.248
As 0.316 0.921 0.752
As 0.684 0.921 0.248
As 0.816 0.421 0.752

---

Material: Zr2CdAu
Method: DFT, PBE
State: optimized geometry

Energy of formation (kJ/mol of atoms): -28.2
Electronic total energy (eV/atom): -5.615

Lattice parameters (Å, degrees): 3.153 3.153 8.385 90.00 90.00 90.00
Element x y z (fractional)
Zr 0.000 0.000 0.238
Zr 0.000 0.000 0.762
Cd 0.500 0.500 0.500
Au 0.500 0.500 0.000

---

Material: PtCSe2Br
Method: DFT, PBE
State: optimized geometry

Electronic total energy (eV/atom): -3.078

Lattice parameters (Å, degrees): 4.962 4.962 5.193 90.00 90.00 90.00
Element x y z (fractional)
Pt 0.000 0.000 0.000
C 0.500 0.500 0.500
Se 0.000 0.500 0.000
Se 0.500 0.000 0.000
Br 0.000 0.000 0.500

---

Material: PrSm3Dy6Er2
Method: DFT, PBE
State: optimized geometry

Energy of formation (kJ/mol of atoms): 1.6
Electronic total energy (eV/atom): -4.623

Lattice parameters (Å, degrees): 6.183 6.183 11.830 94.98 94.98 119.97
Element x y z (fractional)
Pr 0.000 0.000 0.000
Sm 0.167 0.833 0.500
Sm 0.500 0.500 0.500
Sm 0.833 0.167 0.500
Dy 0.084 0.418 0.249
Dy 0.251 0.251 0.751
Dy 0.418 0.084 0.249
Dy 0.582 0.916 0.751
Dy 0.749 0.749 0.249
Dy 0.916 0.582 0.751
Er 0.333 0.667 0.000
Er 0.667 0.333 0.000

---

Material: Er8CuSe6
Method: DFT, PBE
State: optimized geometry

Electronic total energy (eV/atom): -5.256

Lattice parameters (Å, degrees): 10.414 10.414 3.970 90.00 90.00 120.00
Element x y z (fractional)
Er 0.032 0.730 0.251
Er 0.270 0.302 0.251
Er 0.302 0.032 0.749
Er 0.333 0.667 0.748
Er 0.667 0.333 0.252
Er 0.698 0.968 0.251
Er 0.730 0.698 0.749
Er 0.968 0.270 0.749
Cu 0.000 0.000 0.500
Se 0.130 0.481 0.249
Se 0.351 0.870 0.249
Se 0.481 0.351 0.751
Se 0.519 0.649 0.249
Se 0.649 0.130 0.751
Se 0.870 0.519 0.751

---

Material: Li2UTa2Se6
Method: DFT, PBE
State: optimized geometry

Electronic total energy (eV/atom): -6.383

Lattice parameters (Å, degrees): 6.359 6.359 6.988 97.22 97.22 118.43
Element x y z (fractional)
Li 0.171 0.829 0.000
Li 0.829 0.171 0.000
U 0.000 0.000 0.500
Ta 0.367 0.633 0.500
Ta 0.633 0.367 0.500
Se 0.062 0.423 0.731
Se 0.265 0.265 0.228
Se 0.423 0.062 0.731
Se 0.577 0.938 0.269
Se 0.735 0.735 0.772
Se 0.938 0.577 0.269

---

Material: LiPuInGe
Method: DFT, PBE
State: optimized geometry

Energy of formation (kJ/mol of atoms): -21.4
Electronic total energy (eV/atom): -6.122

Lattice parameters (Å, degrees): 7.078 7.078 7.078 90.00 90.00 90.00
Element x y z (fractional)
Li 0.000 0.000 0.000
Li 0.000 0.500 0.500
Li 0.500 0.000 0.500
Li 0.500 0.500 0.000
Pu 0.000 0.000 0.500
Pu 0.000 0.500 0.000
Pu 0.500 0.000 0.000
Pu 0.500 0.500 0.500
In 0.250 0.250 0.250
In 0.250 0.750 0.750
In 0.750 0.250 0.750
In 0.750 0.750 0.250
Ge 0.250 0.250 0.750
Ge 0.250 0.750 0.250
Ge 0.750 0.250 0.250
Ge 0.750 0.750 0.750

---

Material: HfTaIrW
Method: DFT, PBE
State: optimized geometry

Energy of formation (kJ/mol of atoms): -42.1
Electronic total energy (eV/atom): -11.341

Lattice parameters (Å, degrees): 6.498 6.498 6.498 90.00 90.00 90.00
Element x y z (fractional)
Hf 0.000 0.000 0.000
Hf 0.000 0.500 0.500
Hf 0.500 0.000 0.500
Hf 0.500 0.500 0.000
Ta 0.000 0.000 0.500
Ta 0.000 0.500 0.000
Ta 0.500 0.000 0.000
Ta 0.500 0.500 0.500
Ir 0.250 0.250 0.750
Ir 0.250 0.750 0.250
Ir 0.750 0.250 0.250
Ir 0.750 0.750 0.750
W 0.250 0.250 0.250
W 0.250 0.750 0.750
W 0.750 0.250 0.750
W 0.750 0.750 0.250

---

Material: Nb2TcH
Method: DFT, PBE
State: optimized geometry

Electronic total energy (eV/atom): -8.300

Lattice parameters (Å, degrees): 5.984 5.984 6.333 90.00 90.00 90.00
Element x y z (fractional)
Nb 0.174 0.250 0.125
Nb 0.250 0.674 0.375
Nb 0.250 0.826 0.875
Nb 0.326 0.250 0.625
Nb 0.674 0.750 0.625
Nb 0.750 0.174 0.875
Nb 0.750 0.326 0.375
Nb 0.826 0.750 0.125
Tc 0.000 0.000 0.500
Tc 0.000 0.500 0.750
Tc 0.500 0.000 0.250
Tc 0.500 0.500 0.000
H 0.000 0.000 0.000
H 0.000 0.500 0.250
H 0.500 0.000 0.750
H 0.500 0.500 0.500